A geometry-optimized Tb2Er3Cd4 structure, computed with GGA-PBE.

Cell lengths 6.708, 8.058, 9.841 Å; angles 90.00, 109.93, 90.00 degrees
Positions (direct):
Cd (0.325, 0.250, 0.150)
Tb (0.908, 0.399, 0.815)
Cd (0.175, 0.750, 0.850)
Cd (0.839, 0.019, 0.678)
Cd (0.661, 0.519, 0.322)
Cd (0.675, 0.750, 0.850)
Er (0.995, 0.250, 0.490)
Er (0.505, 0.750, 0.510)
Tb (0.092, 0.601, 0.185)
Cd (0.161, 0.981, 0.322)
Er (0.005, 0.750, 0.510)
Cd (0.825, 0.250, 0.150)
Er (0.500, 0.500, 0.000)
Er (0.495, 0.250, 0.490)
Tb (0.592, 0.899, 0.185)
Er (0.000, 0.000, 0.000)
Cd (0.339, 0.481, 0.678)
Tb (0.408, 0.101, 0.815)

Summary:
space group: Cmce, No. 64
energy of formation from the pure elements: -1.3 eV per formula unit
ρ: 8.43 g cm⁻³